# 1
The following is a PBE calculation of a geometry-optimized La2TeBr structure, from the Alexandria database.

Unit cell a=3.8735 b=3.8735 c=7.6953 alpha=90.00 beta=90.00 gamma=90.00
Positions (direct):
La 0.0000 0.0000 0.2440
La 0.0000 0.0000 0.7560
Te 0.5000 0.5000 0.0000
Br 0.5000 0.5000 0.5000

Calculated values
- space-group type = P4/mmm (123)
- raw formation energy (eV/f.u.) = -5.33
- total energy (eV per atom) = -5.00
- polymorph energy (0 for the lowest one) (eV per formula unit) = 0.36
- density (g/cm³) = 6.980
- V (Å³ per cell) = 115.5

# 2
The following is a PBE calculation of a geometry-optimized LiCd2Cu2 structure, from the Alexandria database.

Unit cell a=7.5913 b=7.5913 c=7.5913 alpha=153.27 beta=153.27 gamma=38.16
Positions (direct):
Li 0.0000 0.0000 0.0000
Cd 0.3968 0.3968 0.0000
Cd 0.6032 0.6032 0.0000
Cu 0.2500 0.7500 0.5000
Cu 0.7500 0.2500 0.5000

Calculated values
- space-group type = I4/mmm (139)
- total energy (eV per atom) = -2.36
- polymorph energy (0 for the lowest one) (eV per formula unit) = 0.29
- density (g/cm³) = 6.743
- ΔH_f (0 K) (eV/f.u.) = 0.2
- V (Å³ per cell) = 88.4

# 3
The following is a PBE calculation of a geometry-optimized Pr6As2P3Se structure, from the Alexandria database.

Unit cell a=9.5034 b=9.5034 c=8.5171 alpha=103.05 beta=103.05 gamma=25.81
Positions (direct):
Pr 0.0016 0.0016 0.2399
Pr 0.3300 0.3300 0.4195
Pr 0.3343 0.3343 0.9136
Pr 0.6657 0.6657 0.0864
Pr 0.6700 0.6700 0.5805
Pr 0.9984 0.9984 0.7601
As 0.1659 0.1659 0.8315
As 0.8341 0.8341 0.1685
P 0.1659 0.1659 0.3336
P 0.5000 0.5000 0.0000
P 0.8341 0.8341 0.6664
Se 0.5000 0.5000 0.5000

Calculated values
- space-group type = C2/m (12)
- raw formation energy (eV/f.u.) = -19.34
- total energy (eV per atom) = -6.42
- density (g/cm³) = 5.949
- V (Å³ per cell) = 325.8

# 4
The following is a PBE calculation of a geometry-optimized SrBH2F structure, from the Alexandria database.

Unit cell a=3.4896 b=3.4896 c=4.6880 alpha=90.00 beta=90.00 gamma=90.00
Positions (direct):
Sr 0.0000 0.0000 0.0000
B 0.5000 0.5000 0.5000
H 0.0000 0.5000 0.5000
H 0.5000 0.0000 0.5000
F 0.5000 0.5000 0.0000

Calculated values
- space-group type = P4/mmm (123)
- total energy (eV per atom) = -3.81
- density (g/cm³) = 3.474
- V (Å³ per cell) = 57.1